Below is Lu2CdIn after structural relaxation, with properties calculated at the PBE-GGA level.

Properties
* formation enthalpy at 0 K: -0.228 eV/atom
* energy above the most stable polymorph in this dataset: 132 meV per atom
* symmetry: R-3m

Lattice parameters (Å, degrees): 9.994 9.994 9.994 20.46 20.46 20.46
Fractional coordinates of all 4 atoms:
Lu  0.250  0.250  0.250
Lu  0.750  0.750  0.750
Cd  0.000  0.000  0.000
In  0.500  0.500  0.500